--- w ---
Hg3RhO: optimized geometry, PBE.

CIF file:
```
data_Hg3RhO
_cell_length_a 4.6169
_cell_length_b 4.6169
_cell_length_c 4.6169
_cell_angle_alpha 90.00
_cell_angle_beta 90.00
_cell_angle_gamma 90.00
_symmetry_space_group_name_H-M 'P 1'
_symmetry_Int_Tables_number 1
loop_
_symmetry_equiv_pos_as_xyz
'x,y,z'
loop_
_atom_site_label
_atom_site_type_symbol
_atom_site_fract_x
_atom_site_fract_y
_atom_site_fract_z
Hg1 Hg 0.0000 0.0000 0.5000
Hg2 Hg 0.0000 0.5000 0.0000
Hg3 Hg 0.5000 0.0000 0.0000
Rh1 Rh 0.5000 0.5000 0.5000
O1 O 0.0000 0.0000 0.0000
```

- volume (A^3/atom) = 19.7


--- x ---
Hg3RhO: optimized geometry, PBE.

CIF file:
```
data_Hg3RhO
_cell_length_a 5.2158
_cell_length_b 5.2158
_cell_length_c 5.2158
_cell_angle_alpha 90.00
_cell_angle_beta 90.00
_cell_angle_gamma 90.00
_symmetry_space_group_name_H-M 'P 1'
_symmetry_Int_Tables_number 1
loop_
_symmetry_equiv_pos_as_xyz
'x,y,z'
loop_
_atom_site_label
_atom_site_type_symbol
_atom_site_fract_x
_atom_site_fract_y
_atom_site_fract_z
Hg1 Hg 0.0000 0.0000 0.5000
Hg2 Hg 0.0000 0.5000 0.0000
Hg3 Hg 0.5000 0.0000 0.0000
Rh1 Rh 0.0000 0.0000 0.0000
O1 O 0.5000 0.5000 0.5000
```

- volume (A^3/atom) = 28.4


w is favored, and the nearest alternative lies 0.196 eV/atom above it.


--- w ---
HgRh3O: optimized geometry, PBE.

CIF file:
```
data_HgRh3O
_cell_length_a 4.1855
_cell_length_b 4.1855
_cell_length_c 4.1855
_cell_angle_alpha 90.00
_cell_angle_beta 90.00
_cell_angle_gamma 90.00
_symmetry_space_group_name_H-M 'P 1'
_symmetry_Int_Tables_number 1
loop_
_symmetry_equiv_pos_as_xyz
'x,y,z'
loop_
_atom_site_label
_atom_site_type_symbol
_atom_site_fract_x
_atom_site_fract_y
_atom_site_fract_z
Hg1 Hg 0.0000 0.0000 0.0000
Rh1 Rh 0.0000 0.5000 0.5000
Rh2 Rh 0.5000 0.0000 0.5000
Rh3 Rh 0.5000 0.5000 0.0000
O1 O 0.5000 0.5000 0.5000
```

- volume (A^3/atom) = 14.7


--- x ---
HgRh3O: optimized geometry, PBE.

CIF file:
```
data_HgRh3O
_cell_length_a 5.0461
_cell_length_b 5.0461
_cell_length_c 5.0461
_cell_angle_alpha 90.00
_cell_angle_beta 90.00
_cell_angle_gamma 90.00
_symmetry_space_group_name_H-M 'P 1'
_symmetry_Int_Tables_number 1
loop_
_symmetry_equiv_pos_as_xyz
'x,y,z'
loop_
_atom_site_label
_atom_site_type_symbol
_atom_site_fract_x
_atom_site_fract_y
_atom_site_fract_z
Hg1 Hg 0.0000 0.0000 0.0000
Rh1 Rh 0.0000 0.0000 0.5000
Rh2 Rh 0.0000 0.5000 0.0000
Rh3 Rh 0.5000 0.0000 0.0000
O1 O 0.5000 0.5000 0.5000
```

- volume (A^3/atom) = 25.7


w is favored, and the nearest alternative lies 2.046 eV/atom above it.


--- w ---
HgRu3O: optimized geometry, PBE.

CIF file:
```
data_HgRu3O
_cell_length_a 5.0445
_cell_length_b 5.0445
_cell_length_c 5.0445
_cell_angle_alpha 90.00
_cell_angle_beta 90.00
_cell_angle_gamma 90.00
_symmetry_space_group_name_H-M 'P 1'
_symmetry_Int_Tables_number 1
loop_
_symmetry_equiv_pos_as_xyz
'x,y,z'
loop_
_atom_site_label
_atom_site_type_symbol
_atom_site_fract_x
_atom_site_fract_y
_atom_site_fract_z
Hg1 Hg 0.0000 0.0000 0.0000
Ru1 Ru 0.0000 0.0000 0.5000
Ru2 Ru 0.0000 0.5000 0.0000
Ru3 Ru 0.5000 0.0000 0.0000
O1 O 0.5000 0.5000 0.5000
```

- volume (A^3/atom) = 25.7


--- x ---
HgRu3O: optimized geometry, PBE.

CIF file:
```
data_HgRu3O
_cell_length_a 4.1401
_cell_length_b 4.1401
_cell_length_c 4.1401
_cell_angle_alpha 90.00
_cell_angle_beta 90.00
_cell_angle_gamma 90.00
_symmetry_space_group_name_H-M 'P 1'
_symmetry_Int_Tables_number 1
loop_
_symmetry_equiv_pos_as_xyz
'x,y,z'
loop_
_atom_site_label
_atom_site_type_symbol
_atom_site_fract_x
_atom_site_fract_y
_atom_site_fract_z
Hg1 Hg 0.0000 0.0000 0.0000
Ru1 Ru 0.0000 0.5000 0.5000
Ru2 Ru 0.5000 0.0000 0.5000
Ru3 Ru 0.5000 0.5000 0.0000
O1 O 0.5000 0.5000 0.5000
```

- volume (A^3/atom) = 14.2


x is favored, and the nearest alternative lies 2.372 eV/atom above it.


--- w ---
HgRuO4: optimized geometry, PBE.

CIF file:
```
data_HgRuO4
_cell_length_a 5.7149
_cell_length_b 4.7290
_cell_length_c 5.7782
_cell_angle_alpha 90.00
_cell_angle_beta 90.00
_cell_angle_gamma 90.00
_symmetry_space_group_name_H-M 'P 1'
_symmetry_Int_Tables_number 1
loop_
_symmetry_equiv_pos_as_xyz
'x,y,z'
loop_
_atom_site_label
_atom_site_type_symbol
_atom_site_fract_x
_atom_site_fract_y
_atom_site_fract_z
Hg1 Hg 0.0000 0.0000 0.0000
Hg2 Hg 0.0000 0.5000 0.5000
Ru1 Ru 0.5000 0.0000 0.3607
Ru2 Ru 0.5000 0.5000 0.8607
O1 O 0.2227 0.1928 0.3014
O2 O 0.2227 0.3072 0.8014
O3 O 0.3742 0.7491 0.5775
O4 O 0.3742 0.7509 0.0775
O5 O 0.6258 0.2491 0.0775
O6 O 0.6258 0.2509 0.5775
O7 O 0.7773 0.6928 0.8014
O8 O 0.7773 0.8072 0.3014
```

- volume (A^3/atom) = 13.0


--- x ---
HgRuO4: optimized geometry, PBE.

CIF file:
```
data_HgRuO4
_cell_length_a 5.7201
_cell_length_b 5.7201
_cell_length_c 6.4124
_cell_angle_alpha 107.55
_cell_angle_beta 107.55
_cell_angle_gamma 102.73
_symmetry_space_group_name_H-M 'P 1'
_symmetry_Int_Tables_number 1
loop_
_symmetry_equiv_pos_as_xyz
'x,y,z'
loop_
_atom_site_label
_atom_site_type_symbol
_atom_site_fract_x
_atom_site_fract_y
_atom_site_fract_z
Hg1 Hg 0.1236 0.8764 0.7500
Hg2 Hg 0.8764 0.1236 0.2500
Ru1 Ru 0.4953 0.5047 0.2500
Ru2 Ru 0.5047 0.4953 0.7500
O1 O 0.1613 0.2831 0.0941
O2 O 0.2831 0.1613 0.5941
O3 O 0.3485 0.6304 0.5412
O4 O 0.3696 0.6515 0.9588
O5 O 0.6304 0.3485 0.0412
O6 O 0.6515 0.3696 0.4588
O7 O 0.7169 0.8387 0.4059
O8 O 0.8387 0.7169 0.9059
```

- volume (A^3/atom) = 14.9


x is favored, and the nearest alternative lies 0.009 eV/atom above it.


--- w ---
Hg2SO: optimized geometry, PBE.

CIF file:
```
data_Hg2SO
_cell_length_a 6.9157
_cell_length_b 6.9157
_cell_length_c 6.9157
_cell_angle_alpha 131.89
_cell_angle_beta 131.89
_cell_angle_gamma 70.41
_symmetry_space_group_name_H-M 'P 1'
_symmetry_Int_Tables_number 1
loop_
_symmetry_equiv_pos_as_xyz
'x,y,z'
loop_
_atom_site_label
_atom_site_type_symbol
_atom_site_fract_x
_atom_site_fract_y
_atom_site_fract_z
Hg1 Hg 0.0838 0.6250 0.9588
Hg2 Hg 0.3750 0.3338 0.4588
Hg3 Hg 0.6662 0.1250 0.0412
Hg4 Hg 0.8750 0.9162 0.5412
S1 S 0.2500 0.7500 0.5000
S2 S 0.5000 0.5000 0.0000
O1 O 0.0000 0.0000 0.0000
O2 O 0.7500 0.2500 0.5000
```

- volume (A^3/atom) = 22.5


--- x ---
Hg2SO: optimized geometry, PBE.

CIF file:
```
data_Hg2SO
_cell_length_a 4.6139
_cell_length_b 4.6139
_cell_length_c 4.6139
_cell_angle_alpha 60.00
_cell_angle_beta 60.00
_cell_angle_gamma 60.00
_symmetry_space_group_name_H-M 'P 1'
_symmetry_Int_Tables_number 1
loop_
_symmetry_equiv_pos_as_xyz
'x,y,z'
loop_
_atom_site_label
_atom_site_type_symbol
_atom_site_fract_x
_atom_site_fract_y
_atom_site_fract_z
Hg1 Hg 0.2500 0.2500 0.2500
Hg2 Hg 0.7500 0.7500 0.7500
S1 S 0.0000 0.0000 0.0000
O1 O 0.5000 0.5000 0.5000
```

- volume (A^3/atom) = 17.4


w is favored, and the nearest alternative lies 0.575 eV/atom above it.


--- w ---
Hg2S2O7: optimized geometry, PBE.

CIF file:
```
data_Hg2S2O7
_cell_length_a 6.5248
_cell_length_b 12.5870
_cell_length_c 4.5416
_cell_angle_alpha 90.00
_cell_angle_beta 102.72
_cell_angle_gamma 90.00
_symmetry_space_group_name_H-M 'P 1'
_symmetry_Int_Tables_number 1
loop_
_symmetry_equiv_pos_as_xyz
'x,y,z'
loop_
_atom_site_label
_atom_site_type_symbol
_atom_site_fract_x
_atom_site_fract_y
_atom_site_fract_z
Hg1 Hg 0.1736 0.1814 0.2756
Hg2 Hg 0.1736 0.3186 0.7756
Hg3 Hg 0.8264 0.6814 0.2244
Hg4 Hg 0.8264 0.8186 0.7244
S1 S 0.3373 0.5773 0.6215
S2 S 0.3373 0.9227 0.1215
S3 S 0.6627 0.0773 0.8785
S4 S 0.6627 0.4227 0.3785
O1 O 0.2107 0.6253 0.3501
O2 O 0.2107 0.8747 0.8501
O3 O 0.2183 0.5050 0.7764
O4 O 0.2183 0.9950 0.2764
O5 O 0.4697 0.6520 0.8216
O6 O 0.4697 0.8480 0.3216
O7 O 0.5000 0.0000 0.0000
O8 O 0.5000 0.5000 0.5000
O9 O 0.5303 0.1520 0.6784
O10 O 0.5303 0.3480 0.1784
O11 O 0.7817 0.0050 0.7236
O12 O 0.7817 0.4950 0.2236
O13 O 0.7893 0.1253 0.1499
O14 O 0.7893 0.3747 0.6499
```

- volume (A^3/atom) = 16.5


--- x ---
Hg2S2O7: optimized geometry, PBE.

CIF file:
```
data_Hg2S2O7
_cell_length_a 6.0329
_cell_length_b 6.0329
_cell_length_c 5.3430
_cell_angle_alpha 91.40
_cell_angle_beta 91.40
_cell_angle_gamma 89.96
_symmetry_space_group_name_H-M 'P 1'
_symmetry_Int_Tables_number 1
loop_
_symmetry_equiv_pos_as_xyz
'x,y,z'
loop_
_atom_site_label
_atom_site_type_symbol
_atom_site_fract_x
_atom_site_fract_y
_atom_site_fract_z
Hg1 Hg 0.1521 0.8479 0.0000
Hg2 Hg 0.8479 0.1521 0.0000
S1 S 0.3405 0.3405 0.6556
S2 S 0.6595 0.6595 0.3444
O1 O 0.2056 0.4923 0.8084
O2 O 0.2128 0.2128 0.4720
O3 O 0.4923 0.2056 0.8084
O4 O 0.5000 0.5000 0.5000
O5 O 0.5077 0.7944 0.1916
O6 O 0.7872 0.7872 0.5280
O7 O 0.7944 0.5077 0.1916
```

- volume (A^3/atom) = 17.7


x is favored, and the nearest alternative lies 0.060 eV/atom above it.